Entry 1:
{"formula": "Si3Pt", "functional": "GGA-PBE", "state": "relaxed", "dft_energy_ev_per_cell": -21.87, "density_g_cm3": 7.930, "formation_energy_uncorrected_mev_per_atom": 110, "magnetic_moment_mub_per_cell": 0.00, "cell": [[2.894, -0.082, 0.000], [-0.131, 2.893, 0.000], [0.000, 0.000, 6.996]], "species": ["Pt", "Si", "Si", "Si"], "fractional_positions": [[0.000, 0.000, 0.000], [0.500, 0.500, 0.753], [0.000, 0.000, 0.500], [0.500, 0.500, 0.247]]}

---

Entry 2:
{"formula": "K2NiHgAs", "functional": "GGA-PBE", "state": "relaxed", "dft_energy_ev_per_cell": -13.78, "density_g_cm3": 4.018, "magnetic_moment_mub_per_cell": 0.17, "cell": [[6.261, 0.000, 0.000], [0.000, 6.261, 0.000], [0.000, 0.000, 4.348]], "species": ["K", "K", "Ni", "As", "Hg"], "fractional_positions": [[0.000, 0.500, 0.000], [0.500, 0.000, 0.000], [0.000, 0.000, 0.000], [0.000, 0.000, 0.500], [0.500, 0.500, 0.500]]}